<one>
# ZnPdSO

ZnPdSO after structural relaxation (PBE, the Open Quantum Materials Database).

Values from the calculation:
The space group is Cmc2_1. The crystal system is orthorhombic. The calculation puts the mass density at 6.04 g/cm³.

```
ZnPdSO
1.0
6.332 -1.741 0.000
6.332 1.741 0.000
0.000 0.000 5.483
O Pd S Zn
2 2 2 2
Direct
0.926 0.926 0.019
0.074 0.074 0.519
0.683 0.683 0.486
0.317 0.317 0.986
0.684 0.684 0.015
0.316 0.316 0.515
0.936 0.936 0.374
0.064 0.064 0.874
```

=====

<two>
# ZnPdSO

ZnPdSO after structural relaxation (PBE, the Open Quantum Materials Database).

Values from the calculation:
The space group is P4/nmm. The crystal system is tetragonal. The calculation puts the mass density at 6.63 g/cm³.

```
ZnPdSO
1.0
-1.977 -0.983 2.444
2.472 -1.745 1.298
2.801 8.066 5.509
O Pd S Zn
2 2 2 2
Direct
0.250 0.250 0.086
0.750 0.750 0.914
0.250 0.250 0.297
0.750 0.750 0.703
0.750 0.250 0.500
0.250 0.750 0.500
0.750 0.750 0.112
0.250 0.250 0.888
```

=====

The structure with the least stability is <two>.

=====

<one>
# ZnPdSO

ZnPdSO after structural relaxation (PBE, the Open Quantum Materials Database).

Values from the calculation:
The space group is Pbca. The crystal system is orthorhombic. The calculation puts the mass density at 5.75 g/cm³.

```
ZnPdSO
1.0
6.035 0.000 0.000
0.000 12.903 0.000
0.000 0.000 6.525
O Pd S Zn
8 8 8 8
Direct
0.717 0.251 0.118
0.783 0.751 0.118
0.217 0.251 0.382
0.283 0.751 0.382
0.717 0.249 0.618
0.783 0.749 0.618
0.217 0.249 0.882
0.283 0.749 0.882
0.251 0.439 0.019
0.249 0.939 0.019
0.751 0.439 0.481
0.749 0.939 0.481
0.251 0.061 0.519
0.249 0.561 0.519
0.751 0.061 0.981
0.749 0.561 0.981
0.500 0.013 0.250
0.000 0.513 0.250
0.000 0.013 0.250
0.500 0.513 0.250
0.500 0.487 0.750
0.000 0.987 0.750
0.000 0.487 0.750
0.500 0.987 0.750
0.038 0.248 0.134
0.462 0.748 0.134
0.538 0.248 0.366
0.962 0.748 0.366
0.038 0.252 0.634
0.462 0.752 0.634
0.538 0.252 0.866
0.962 0.752 0.866
```

=====

<two>
# ZnPdSO

ZnPdSO after structural relaxation (PBE, the Open Quantum Materials Database).

Values from the calculation:
The space group is Cmcm. The crystal system is orthorhombic. The calculation puts the mass density at 6.37 g/cm³.

```
ZnPdSO
1.0
1.324 5.952 1.245
-1.716 5.456 2.454
2.274 -1.568 5.078
O Pd S Zn
2 2 2 2
Direct
0.000 0.000 0.000
0.000 0.000 0.500
0.599 0.599 0.250
0.401 0.401 0.750
0.233 0.233 0.250
0.767 0.767 0.750
0.886 0.886 0.250
0.114 0.114 0.750
```

=====

The structure with the least stability is <two>.

=====

<one>
# ZnPdSO

ZnPdSO after structural relaxation (PBE, the Open Quantum Materials Database).

Values from the calculation:
The space group is P2_12_12_1. The crystal system is orthorhombic. The calculation puts the mass density at 5.39 g/cm³.

```
ZnPdSO
1.0
5.925 0.000 0.000
0.000 5.501 0.000
0.000 0.000 8.320
O Pd S Zn
4 4 4 4
Direct
0.533 0.137 0.153
0.467 0.637 0.347
0.967 0.863 0.653
0.033 0.363 0.847
0.786 0.247 0.002
0.214 0.746 0.498
0.714 0.753 0.502
0.286 0.254 0.998
0.044 0.937 0.088
0.956 0.437 0.412
0.456 0.063 0.588
0.544 0.563 0.912
0.455 0.787 0.132
0.545 0.287 0.368
0.045 0.213 0.632
0.955 0.713 0.868
```

=====

<two>
# ZnPdSO

ZnPdSO after structural relaxation (PBE, the Open Quantum Materials Database).

Values from the calculation:
The space group is P4/nmm. The crystal system is tetragonal. The calculation puts the mass density at 5.27 g/cm³.

```
ZnPdSO
1.0
-3.925 -1.622 1.985
-1.587 -1.313 -4.211
2.707 -5.646 0.740
O Pd S Zn
2 2 2 2
Direct
0.750 0.750 0.077
0.250 0.250 0.923
0.750 0.750 0.398
0.250 0.250 0.602
0.750 0.250 0.500
0.250 0.750 0.500
0.250 0.250 0.205
0.750 0.750 0.795
```

=====

<three>
# ZnPdSO

ZnPdSO after structural relaxation (PBE, the Open Quantum Materials Database).

Values from the calculation:
The space group is P6_3mc. The crystal system is hexagonal. The calculation puts the mass density at 6.08 g/cm³.

```
ZnPdSO
1.0
3.054 -1.763 0.000
3.054 1.763 0.000
0.000 0.000 11.148
O Pd S Zn
2 2 2 2
Direct
0.000 0.000 0.171
0.000 0.000 0.671
0.667 0.667 0.257
0.333 0.333 0.757
0.333 0.333 0.382
0.667 0.667 0.882
0.000 0.000 0.003
0.000 0.000 0.503
```

=====

The structure with the least stability is <two>.

=====

<one>
# SnPdSeO

SnPdSeO after structural relaxation (PBE, the Open Quantum Materials Database).

Values from the calculation:
The space group is P4/nmm. The crystal system is tetragonal. The calculation puts the mass density at 7.08 g/cm³.

```
SnPdSeO
1.0
-3.718 -0.901 -1.340
0.710 -3.934 0.674
-3.269 0.864 8.488
O Pd Se Sn
2 2 2 2
Direct
0.750 0.750 0.083
0.250 0.250 0.917
0.750 0.750 0.324
0.250 0.250 0.676
0.750 0.250 0.500
0.250 0.750 0.500
0.250 0.250 0.141
0.750 0.750 0.859
```

=====

<two>
# SnPdSeO

SnPdSeO after structural relaxation (PBE, the Open Quantum Materials Database).

Values from the calculation:
The space group is Pca2_1. The crystal system is orthorhombic. The calculation puts the mass density at 6.98 g/cm³.

```
SnPdSeO
1.0
6.771 0.000 0.000
0.000 7.829 0.000
0.000 0.000 5.746
O Pd Se Sn
4 4 4 4
Direct
0.118 0.063 0.222
0.618 0.937 0.222
0.382 0.063 0.722
0.882 0.937 0.722
0.407 0.160 0.090
0.907 0.840 0.090
0.093 0.160 0.590
0.593 0.840 0.590
0.879 0.370 0.426
0.379 0.630 0.426
0.621 0.370 0.926
0.121 0.630 0.926
0.032 0.273 0.011
0.532 0.727 0.011
0.468 0.273 0.511
0.968 0.727 0.511
```

=====

<three>
# SnPdSeO

SnPdSeO after structural relaxation (PBE, the Open Quantum Materials Database).

Values from the calculation:
The space group is P4/nmm. The crystal system is tetragonal. The calculation puts the mass density at 6.66 g/cm³.

```
SnPdSeO
1.0
4.374 0.000 0.000
0.000 4.374 0.000
0.000 0.000 8.349
O Pd Se Sn
2 2 2 2
Direct
0.250 0.250 0.085
0.750 0.750 0.915
0.250 0.250 0.350
0.750 0.750 0.650
0.750 0.250 0.500
0.250 0.750 0.500
0.750 0.750 0.151
0.250 0.250 0.849
```

=====

The structure with the least stability is <three>.